Record 1
Here is a relaxed structure of IrRuSe2 from Alexandria via LeMat-Bulk. Energies are from GGA-PBE.

Calculated values
* ΔE to the lowest computed polymorph: 0.149 eV per atom
* ρ: 8.81 g cm⁻³

a b c (Å): 6.796 6.796 6.796
angles (deg): 131.97 131.97 70.28
Fractional positions:
Ir (0.000, 0.000, 0.000)
Ir (0.750, 0.250, 0.500)
Ru (0.250, 0.750, 0.500)
Ru (0.500, 0.500, 0.000)
Se (0.128, 0.625, 0.003)
Se (0.375, 0.378, 0.503)
Se (0.622, 0.125, 0.997)
Se (0.875, 0.872, 0.497)


Record 2
Here is a relaxed structure of Pm4GaSbTe2 from Alexandria via LeMat-Bulk. Energies are from GGA-PBE.

Calculated values
* ρ: 6.88 g cm⁻³
* uncorrected energy: -5.225 eV per atom

a b c (Å): 7.725 4.363 7.763
angles (deg): 90.00 108.63 90.00
Fractional positions:
Pm (0.239, 0.000, 0.235)
Pm (0.246, 0.500, 0.765)
Pm (0.754, 0.500, 0.235)
Pm (0.761, 0.000, 0.765)
Ga (0.000, 0.500, 0.000)
Sb (0.500, 0.000, 0.000)
Te (0.000, 0.000, 0.500)
Te (0.500, 0.500, 0.500)


Record 3
Here is a relaxed structure of NaMg3F from Alexandria via LeMat-Bulk. Energies are from GGA-PBE.

Calculated values
* ΔE to the lowest computed polymorph: 0.000 eV per atom
* ρ: 1.77 g cm⁻³

a b c (Å): 4.763 4.763 4.763
angles (deg): 90.00 90.00 90.00
Fractional positions:
Na (0.000, 0.000, 0.000)
Mg (0.000, 0.500, 0.500)
Mg (0.500, 0.000, 0.500)
Mg (0.500, 0.500, 0.000)
F (0.500, 0.500, 0.500)


Record 4
Here is a relaxed structure of TeRhCl2 from Alexandria via LeMat-Bulk. Energies are from GGA-PBE.

Calculated values
* ΔE to the lowest computed polymorph: 0.428 eV per atom
* ρ: 4.12 g cm⁻³

a b c (Å): 7.372 7.372 7.372
angles (deg): 96.78 96.78 139.82
Fractional positions:
Te (0.000, 0.000, 0.000)
Te (0.750, 0.250, 0.500)
Rh (0.250, 0.750, 0.500)
Rh (0.500, 0.500, 0.000)
Cl (0.369, 0.125, 0.744)
Cl (0.375, 0.631, 0.756)
Cl (0.381, 0.625, 0.256)
Cl (0.875, 0.619, 0.244)


Record 5
Here is a relaxed structure of SrLi2Mn from Alexandria via LeMat-Bulk. Energies are from GGA-PBE.

Calculated values
* ΔE to the lowest computed polymorph: 0.045 eV per atom
* ρ: 2.53 g cm⁻³
* energy relative to the elements: 403 meV/atom

a b c (Å): 5.721 5.721 5.721
angles (deg): 136.91 125.03 72.29
Fractional positions:
Sr (0.000, 0.000, 0.000)
Li (0.280, 0.780, 0.500)
Li (0.516, 0.516, 0.000)
Mn (0.723, 0.223, 0.500)


Record 6
Here is a relaxed structure of La2PaRuO8 from Alexandria via LeMat-Bulk. Energies are from GGA-PBE.

Calculated values
* ρ: 7.08 g cm⁻³
* uncorrected energy: -8.338 eV per atom

a b c (Å): 4.420 7.180 5.491
angles (deg): 90.00 96.64 90.00
Fractional positions:
La (0.000, 0.239, 0.000)
La (0.000, 0.761, 0.000)
Pa (0.500, 0.500, 0.500)
Ru (0.500, 0.000, 0.500)
O (0.088, 0.500, 0.266)
O (0.123, 0.000, 0.289)
O (0.422, 0.233, 0.717)
O (0.422, 0.767, 0.717)
O (0.578, 0.233, 0.283)
O (0.578, 0.767, 0.283)
O (0.877, 0.000, 0.711)
O (0.912, 0.500, 0.734)


Record 7
Here is a relaxed structure of HfGaReP2 from Alexandria via LeMat-Bulk. Energies are from GGA-PBE.

Calculated values
* ρ: 6.60 g cm⁻³
* energy relative to the elements: 1194 meV/atom

a b c (Å): 4.929 4.929 5.137
angles (deg): 90.00 90.00 90.00
Fractional positions:
Hf (0.000, 0.000, 0.000)
Ga (0.500, 0.500, 0.500)
Re (0.000, 0.000, 0.500)
P (0.000, 0.500, 0.000)
P (0.500, 0.000, 0.000)


Record 8
Here is a relaxed structure of TbScF5 from Alexandria via LeMat-Bulk. Energies are from GGA-PBE.

Calculated values
* ρ: 4.33 g cm⁻³
* uncorrected energy: -6.666 eV per atom

a b c (Å): 5.844 5.844 7.615
angles (deg): 108.81 108.81 74.92
Fractional positions:
Tb (0.031, 0.969, 0.750)
Tb (0.969, 0.031, 0.250)
Sc (0.500, 0.500, 0.000)
Sc (0.500, 0.500, 0.500)
F (0.175, 0.818, 0.026)
F (0.182, 0.825, 0.474)
F (0.246, 0.271, 0.378)
F (0.271, 0.246, 0.878)
F (0.348, 0.652, 0.750)
F (0.652, 0.348, 0.250)
F (0.729, 0.754, 0.122)
F (0.754, 0.729, 0.622)
F (0.818, 0.175, 0.526)
F (0.825, 0.182, 0.974)


> What is the ρ in the third record?

1.77 g cm⁻³


> Among the records above, which one has the lowest ρ?

NaMg3F